Zr4BiAsP2: optimized geometry, PBE.

Summary:
Energy (eV per cell): -62.89
Space group: P-6m2 (187)

Cell lengths 3.805, 3.805, 13.295 Å; angles 90.00, 90.00, 120.00 degrees
Sites, in units of the cell vectors:
As: 0.000 0.000 0.500
Bi: 0.333 0.667 0.000
P: 0.667 0.333 0.262
P: 0.667 0.333 0.738
Zr: 0.000 0.000 0.159
Zr: 0.333 0.667 0.368
Zr: 0.333 0.667 0.632
Zr: 0.000 0.000 0.841